The following is a DFT calculation (PBE-GGA) of crystalline PRuNO2 at its relaxed geometry. Values from VASP.

Its density of states at the Fermi level is 0.8347 states/eV/atom. As for the crystal system: tetragonal. Its space group is P4/mmm, No. 123. The uncorrected formation energy comes out at 263.2 meV per atom. The total magnetization is 0.5761 μB per atom.

Quantum ESPRESSO input file:
```
&SYSTEM
  ibrav = 0, nat = 5, ntyp = 4
/
ATOMIC_SPECIES
Ru 101.07 Ru.upf
N 14.01 N.upf
O 16.00 O.upf
P 30.97 P.upf
CELL_PARAMETERS angstrom
3.417 0.000 0.000
0.000 3.417 0.000
0.000 0.000 3.952
ATOMIC_POSITIONS crystal
Ru 0.500 0.500 0.500
N 0.000 0.000 0.500
O 0.000 0.500 0.000
O 0.500 0.000 0.000
P 0.000 0.000 0.000
```

***

The following is a DFT calculation (PBE-GGA) of crystalline PRuNO2 at its relaxed geometry. Values from VASP.

Its density of states at the Fermi level is 0.6472 states/eV/atom. As for the crystal system: tetragonal. Its space group is P4/mmm, No. 123. The uncorrected formation energy comes out at 1161.3 meV per atom. The total magnetization is 0.0000 μB per atom.

Quantum ESPRESSO input file:
```
&SYSTEM
  ibrav = 0, nat = 5, ntyp = 4
/
ATOMIC_SPECIES
Ru 101.07 Ru.upf
N 14.01 N.upf
O 16.00 O.upf
P 30.97 P.upf
CELL_PARAMETERS angstrom
-0.137 0.410 -3.666
-3.610 -0.768 0.049
-0.749 3.549 0.425
ATOMIC_POSITIONS crystal
Ru 0.500 0.500 0.500
N 0.000 0.000 0.000
O 0.000 0.500 0.000
O 0.500 0.000 0.000
P 0.000 0.000 0.500
```

***

total magnetization of number 2 (PRuNO2)? 0.0000 μB per atom

***

What is the formula in the second record? PRuNO2

***

Which of these has the highest total magnetization? number 1